Compound: SrCrAg2
Source: Alexandria via LeMat-Bulk
Functional: GGA-PBE
Structure: relaxed

Cell: 5.123 5.123 5.123 Å, 60.00 60.00 60.00°
Element x y z (fractional)
Sr 0.000 0.000 0.000
Cr 0.500 0.500 0.500
Ag 0.250 0.250 0.250
Ag 0.750 0.750 0.750

Energy relative to the lowest polymorph listed for this composition: 0.083 eV/atom
Space group: Fm-3m (225)
Final energy: -4.01 eV per atom
Size of the total moment: 4.752 μB/cell
DOS at the Fermi energy: 1.9 states/eV/f.u.